# 1
This record from the Alexandria database describes a relaxed Pm4Nd2Dy2Er crystal. The functional is PBE-GGA.

Unit cell a=5.123 b=8.102 c=8.068 alpha=107.58 beta=90.00 gamma=108.43
Atoms (fractional coordinates):
Pm: 0.778 0.557 0.669
Pm: 0.222 0.443 0.331
Pm: 0.555 0.111 0.331
Pm: 0.445 0.889 0.669
Nd: 0.888 0.777 0.330
Nd: 0.112 0.223 0.670
Dy: 0.334 0.667 0.000
Dy: 0.666 0.333 0.000
Er: 0.000 0.000 0.000

Computed properties:
Energy of formation: 0.019 eV per atom
N(E_F): 14.0 states/eV/cell

=====

# 2
This record from the Alexandria database describes a relaxed Dy2ErAlC crystal. The functional is PBE-GGA.

Unit cell a=4.829 b=4.886 c=4.886 alpha=90.00 beta=90.00 gamma=90.00
Atoms (fractional coordinates):
Dy: 0.000 0.000 0.500
Dy: 0.000 0.500 0.000
Er: 0.500 0.000 0.000
Al: 0.500 0.500 0.500
C: 0.000 0.000 0.000

Computed properties:
Energy of formation: -0.402 eV per atom
N(E_F): 1.7 states/eV/cell

=====

# 3
This record from the Alexandria database describes a relaxed KCa2Al crystal. The functional is PBE-GGA.

Unit cell a=9.232 b=9.232 c=5.201 alpha=73.68 beta=73.68 gamma=23.68
Atoms (fractional coordinates):
Ca: 0.095 0.095 0.905
Ca: 0.245 0.245 0.256
K: 0.421 0.421 0.578
Al: 0.739 0.739 0.761

Computed properties:
Energy of formation: 0.124 eV per atom
N(E_F): 3.9 states/eV/cell

=====

# 4
This record from the Alexandria database describes a relaxed TlS2Br8 crystal. The functional is PBE-GGA.

Unit cell a=7.551 b=8.221 c=8.221 alpha=60.01 beta=74.62 gamma=74.62
Each line ends with the local moment (μB).
Atoms (fractional coordinates):
Tl: 0.000 0.000 0.000  0.00
S: 0.570 0.826 0.826  0.16
S: 0.430 0.174 0.174  0.16
Br: 0.203 0.283 0.823  0.06
Br: 0.797 0.177 0.717  0.06
Br: 0.327 0.768 0.768  0.04
Br: 0.673 0.232 0.232  0.04
Br: 0.203 0.823 0.283  0.06
Br: 0.797 0.717 0.177  0.06
Br: 0.808 0.694 0.694  0.06
Br: 0.192 0.306 0.306  0.06

Computed properties:
E_tot: -24.44 eV for the cell shown
N(E_F): 7.0 states/eV/cell

=====

# 5
This record from the Alexandria database describes a relaxed Ta5Ru crystal. The functional is PBE-GGA.

Unit cell a=3.232 b=4.678 c=7.278 alpha=108.75 beta=90.00 gamma=90.00
Atoms (fractional coordinates):
Ru: 0.000 0.000 0.000
Ta: 0.000 0.667 0.334
Ta: 0.000 0.333 0.666
Ta: 0.500 0.500 0.000
Ta: 0.500 0.162 0.324
Ta: 0.500 0.838 0.676

Computed properties:
E above lowest polymorph: 0.159 eV/f.u.
Energy of formation: -0.181 eV per atom
N(E_F): 5.1 states/eV/cell

=====

# 6
This record from the Alexandria database describes a relaxed Ba3SrAu2 crystal. The functional is PBE-GGA.

Unit cell a=4.768 b=10.356 c=12.352 alpha=82.13 beta=78.87 gamma=76.69
Atoms (fractional coordinates):
Ba: 0.060 0.072 0.808
Ba: 0.940 0.928 0.192
Ba: 0.687 0.680 0.947
Ba: 0.313 0.320 0.053
Ba: 0.815 0.813 0.558
Ba: 0.185 0.187 0.442
Sr: 0.441 0.426 0.692
Sr: 0.559 0.574 0.308
Au: 0.877 0.382 0.865
Au: 0.123 0.618 0.135
Au: 0.624 0.127 0.625
Au: 0.376 0.873 0.375

Computed properties:
Energy of formation: -0.510 eV per atom
N(E_F): 11.4 states/eV/cell

=====

# 7
This record from the Alexandria database describes a relaxed SmErTeAs crystal. The functional is PBE-GGA.

Unit cell a=4.164 b=4.164 c=7.771 alpha=90.00 beta=105.54 gamma=120.00
Atoms (fractional coordinates):
Sm: 0.113 0.954 0.083
Er: 0.492 0.144 0.651
Te: 0.973 0.385 0.373
As: 0.300 0.548 0.863

Computed properties:
E_tot: -22.86 eV for the cell shown
N(E_F): 2.5 states/eV/cell

=====

# 8
This record from the Alexandria database describes a relaxed AcBiCl6 crystal. The functional is PBE-GGA.

Unit cell a=6.978 b=6.977 c=7.642 alpha=62.83 beta=62.84 gamma=60.03
Atoms (fractional coordinates):
Ac: 0.500 0.500 0.500
Bi: 0.000 0.000 0.000
Cl: 0.080 0.402 0.757
Cl: 0.760 0.080 0.757
Cl: 0.598 0.239 0.243
Cl: 0.240 0.920 0.243
Cl: 0.920 0.598 0.243
Cl: 0.402 0.761 0.757

Computed properties:
E_tot: -32.44 eV for the cell shown
N(E_F): 0.0 states/eV/cell

=====

# 9
This record from the Alexandria database describes a relaxed Sr2MgTiV crystal. The functional is PBE-GGA.

Unit cell a=6.205 b=4.351 c=6.205 alpha=90.00 beta=90.00 gamma=90.00
Each line ends with the local moment (μB).
Atoms (fractional coordinates):
Sr: 0.000 0.000 0.500  0.00
Sr: 0.500 0.000 0.000  0.00
Mg: 0.500 0.500 0.500  0.00
Ti: 0.000 0.000 0.000  -0.11
V: 0.000 0.500 0.000  1.38

Computed properties:
Energy of formation: 0.830 eV per atom
N(E_F): 4.3 states/eV/cell

=====

# 10
This record from the Alexandria database describes a relaxed Al2AgSn crystal. The functional is PBE-GGA.

Unit cell a=4.077 b=4.426 c=4.426 alpha=90.00 beta=90.00 gamma=90.00
Atoms (fractional coordinates):
Sn: 0.500 0.500 0.500
Ag: 0.500 0.000 0.000
Al: 0.000 0.000 0.500
Al: 0.000 0.500 0.000

Computed properties:
Energy of formation: 0.153 eV per atom
N(E_F): 1.8 states/eV/cell

=====

# 11
This record from the Alexandria database describes a relaxed KSn3 crystal. The functional is PBE-GGA.

Unit cell a=4.879 b=4.879 c=6.045 alpha=113.80 beta=113.80 gamma=90.00
Atoms (fractional coordinates):
K: 0.000 0.000 0.000
Sn: 0.750 0.250 0.500
Sn: 0.250 0.750 0.500
Sn: 0.500 0.500 0.000

Computed properties:
Energy of formation: -0.016 eV per atom
N(E_F): 1.2 states/eV/cell

=====

# 12
This record from the Alexandria database describes a relaxed La5Pr2ErSc crystal. The functional is PBE-GGA.

Unit cell a=8.465 b=8.465 c=10.731 alpha=113.23 beta=113.23 gamma=90.00
Atoms (fractional coordinates):
La: 0.923 0.423 0.292
La: 0.631 0.131 0.708
La: 0.077 0.577 0.708
La: 0.131 0.077 0.708
La: 0.577 0.631 0.708
La: 0.869 0.923 0.292
La: 0.423 0.369 0.292
La: 0.369 0.869 0.292
La: 0.500 0.500 0.000
La: 0.000 0.000 0.000
Pr: 0.128 0.372 0.000
Pr: 0.628 0.128 0.000
Pr: 0.372 0.872 0.000
Pr: 0.872 0.628 0.000
Er: 0.250 0.250 0.500
Er: 0.750 0.750 0.500
Sc: 0.250 0.750 0.500
Sc: 0.750 0.250 0.500

Computed properties:
Energy of formation: 0.265 eV per atom
N(E_F): 28.6 states/eV/cell

=====

# 13
This record from the Alexandria database describes a relaxed Na2LiHfBr crystal. The functional is PBE-GGA.

Unit cell a=5.733 b=4.716 c=5.733 alpha=90.00 beta=90.00 gamma=90.00
Each line ends with the local moment (μB).
Atoms (fractional coordinates):
Na: 0.000 0.000 0.500  0.04
Na: 0.500 0.000 0.000  0.03
Hf: 0.500 0.500 0.500  1.46
Br: 0.000 0.000 0.000  0.08
Li: 0.000 0.500 0.000  0.03

Computed properties:
E_tot: -14.18 eV for the cell shown
N(E_F): 6.6 states/eV/cell

=====

# 14
This record from the Alexandria database describes a relaxed Cd2HgPb crystal. The functional is PBE-GGA.

Unit cell a=5.280 b=5.280 c=5.280 alpha=60.00 beta=60.00 gamma=60.00
Atoms (fractional coordinates):
Pb: 0.500 0.500 0.500
Hg: 0.000 0.000 0.000
Cd: 0.250 0.250 0.250
Cd: 0.750 0.750 0.750

Computed properties:
E above lowest polymorph: 0.193 eV/f.u.
Energy of formation: 0.088 eV per atom
N(E_F): 1.4 states/eV/cell

=====

# 15
This record from the Alexandria database describes a relaxed PWCl crystal. The functional is PBE-GGA.

Unit cell a=4.220 b=4.220 c=4.220 alpha=60.00 beta=60.00 gamma=60.00
Atoms (fractional coordinates):
Cl: 0.500 0.500 0.500
P: 0.750 0.750 0.750
W: 0.000 0.000 0.000

Computed properties:
E above lowest polymorph: 3.444 eV/f.u.
N(E_F): 2.6 states/eV/cell

=====

# 16
This record from the Alexandria database describes a relaxed Pm3Ho2Hg4 crystal. The functional is PBE-GGA.

Unit cell a=6.886 b=8.002 c=10.123 alpha=90.00 beta=109.88 gamma=90.00
Atoms (fractional coordinates):
Pm: 0.000 0.000 0.000
Pm: 0.500 0.500 0.000
Pm: 0.510 0.750 0.521
Pm: 0.990 0.250 0.479
Pm: 0.490 0.250 0.479
Pm: 0.010 0.750 0.521
Ho: 0.093 0.586 0.186
Ho: 0.907 0.414 0.814
Ho: 0.407 0.086 0.814
Ho: 0.593 0.914 0.186
Hg: 0.677 0.750 0.854
Hg: 0.823 0.250 0.146
Hg: 0.323 0.250 0.146
Hg: 0.177 0.750 0.854
Hg: 0.159 0.961 0.319
Hg: 0.841 0.039 0.681
Hg: 0.341 0.461 0.681
Hg: 0.659 0.539 0.319

Computed properties:
Energy of formation: -0.280 eV per atom
N(E_F): 16.9 states/eV/cell

=====

# 17
This record from the Alexandria database describes a relaxed Cr7C3 crystal. The functional is PBE-GGA.

Unit cell a=4.512 b=6.894 c=12.111 alpha=90.00 beta=90.00 gamma=90.00
Atoms (fractional coordinates):
C: 0.464 0.250 0.561
C: 0.036 0.750 0.061
C: 0.536 0.750 0.439
C: 0.964 0.250 0.939
C: 0.024 0.035 0.340
C: 0.476 0.965 0.840
C: 0.976 0.535 0.660
C: 0.524 0.465 0.160
C: 0.976 0.965 0.660
C: 0.524 0.035 0.160
C: 0.024 0.465 0.340
C: 0.476 0.535 0.840
Cr: 0.058 0.250 0.626
Cr: 0.442 0.750 0.126
Cr: 0.942 0.750 0.374
Cr: 0.558 0.250 0.874
Cr: 0.227 0.250 0.207
Cr: 0.273 0.750 0.707
Cr: 0.773 0.750 0.793
Cr: 0.727 0.250 0.293
Cr: 0.243 0.250 0.418
Cr: 0.257 0.750 0.918
Cr: 0.757 0.750 0.582
Cr: 0.743 0.250 0.082
Cr: 0.068 0.066 0.813
Cr: 0.432 0.934 0.313
Cr: 0.932 0.566 0.187
Cr: 0.568 0.434 0.687
Cr: 0.932 0.934 0.187
Cr: 0.568 0.066 0.687
Cr: 0.068 0.434 0.813
Cr: 0.432 0.566 0.313
Cr: 0.247 0.066 0.026
Cr: 0.253 0.934 0.526
Cr: 0.753 0.566 0.974
Cr: 0.747 0.434 0.474
Cr: 0.753 0.934 0.974
Cr: 0.747 0.066 0.474
Cr: 0.247 0.434 0.026
Cr: 0.253 0.566 0.526

Computed properties:
Energy of formation: -0.119 eV per atom
N(E_F): 34.3 states/eV/cell

=====

# 18
This record from the Alexandria database describes a relaxed CaYZr2 crystal. The functional is PBE-GGA.

Unit cell a=5.678 b=5.678 c=3.452 alpha=90.00 beta=90.00 gamma=90.00
Atoms (fractional coordinates):
Y: 0.000 0.500 0.500
Ca: 0.500 0.000 0.500
Zr: 0.000 0.000 0.000
Zr: 0.500 0.500 0.000

Computed properties:
E above lowest polymorph: 1.099 eV/f.u.
Energy of formation: 0.439 eV per atom
N(E_F): 7.2 states/eV/cell

=====

# 19
This record from the Alexandria database describes a relaxed Ac3Mg crystal. The functional is PBE-GGA.

Unit cell a=5.422 b=5.422 c=5.422 alpha=90.00 beta=90.00 gamma=90.00
Atoms (fractional coordinates):
Ac: 0.000 0.500 0.500
Ac: 0.500 0.000 0.500
Ac: 0.500 0.500 0.000
Mg: 0.000 0.000 0.000

Computed properties:
E above lowest polymorph: 0.280 eV/f.u.
Energy of formation: 0.032 eV per atom
N(E_F): 7.0 states/eV/cell

=====

# 20
This record from the Alexandria database describes a relaxed RbDyVCl6 crystal. The functional is PBE-GGA.

Unit cell a=6.663 b=6.663 c=14.965 alpha=90.00 beta=90.00 gamma=120.00
Each line ends with the local moment (μB).
Atoms (fractional coordinates):
Rb: 0.000 0.000 0.000  0.00
Rb: 0.000 0.000 0.500  0.00
Dy: 0.667 0.333 0.250  0.02
Dy: 0.333 0.667 0.750  0.02
V: 0.333 0.667 0.250  2.59
V: 0.667 0.333 0.750  2.59
Cl: 0.624 0.641 0.152  -0.01
Cl: 0.018 0.376 0.152  -0.01
Cl: 0.376 0.018 0.652  -0.01
Cl: 0.982 0.624 0.848  -0.01
Cl: 0.359 0.376 0.348  -0.01
Cl: 0.018 0.641 0.348  -0.01
Cl: 0.641 0.018 0.848  -0.01
Cl: 0.624 0.982 0.348  -0.01
Cl: 0.982 0.359 0.652  -0.01
Cl: 0.359 0.982 0.152  -0.01
Cl: 0.641 0.624 0.652  -0.01
Cl: 0.376 0.359 0.848  -0.01

Computed properties:
E_tot: -85.04 eV for the cell shown

=====

# 21
This record from the Alexandria database describes a relaxed CsNpZnS3 crystal. The functional is PBE-GGA.

Unit cell a=4.078 b=9.406 c=9.924 alpha=110.77 beta=90.00 gamma=90.00
Each line ends with the local moment (μB).
Atoms (fractional coordinates):
Cs: 0.250 0.213 0.240  0.00
Cs: 0.750 0.787 0.760  0.00
Np: 0.250 0.668 0.143  3.90
Np: 0.750 0.332 0.857  3.90
Zn: 0.250 0.085 0.611  0.01
Zn: 0.750 0.915 0.389  0.01
S: 0.750 0.872 0.145  -0.05
S: 0.250 0.128 0.855  -0.05
S: 0.250 0.819 0.459  -0.01
S: 0.750 0.181 0.541  -0.01
S: 0.750 0.474 0.148  -0.09
S: 0.250 0.526 0.852  -0.09

Computed properties:
E_tot: -68.85 eV for the cell shown
N(E_F): 19.5 states/eV/cell

=====

# 22
This record from the Alexandria database describes a relaxed Y2HfFe9 crystal. The functional is PBE-GGA.

Unit cell a=5.008 b=5.008 c=16.224 alpha=90.00 beta=90.00 gamma=120.00
Each line ends with the local moment (μB).
Atoms (fractional coordinates):
Y: 0.333 0.667 0.539  -0.37
Y: 0.667 0.333 0.039  -0.37
Y: 0.667 0.333 0.461  -0.37
Y: 0.333 0.667 0.961  -0.37
Hf: 0.333 0.667 0.750  -0.46
Hf: 0.667 0.333 0.250  -0.46
Fe: 0.000 0.000 0.000  1.95
Fe: 0.000 0.000 0.500  1.95
Fe: 0.000 0.000 0.250  2.26
Fe: 0.000 0.000 0.750  2.26
Fe: 0.333 0.667 0.250  2.06
Fe: 0.667 0.333 0.750  2.06
Fe: 0.167 0.333 0.130  2.07
Fe: 0.667 0.833 0.130  2.07
Fe: 0.167 0.833 0.130  2.07
Fe: 0.833 0.667 0.630  2.07
Fe: 0.333 0.167 0.630  2.07
Fe: 0.833 0.167 0.630  2.07
Fe: 0.333 0.167 0.870  2.07
Fe: 0.833 0.667 0.870  2.07
Fe: 0.833 0.167 0.870  2.07
Fe: 0.667 0.833 0.370  2.07
Fe: 0.167 0.333 0.370  2.07
Fe: 0.167 0.833 0.370  2.07

Computed properties:
Energy of formation: -0.071 eV per atom
N(E_F): 22.5 states/eV/cell

=====

Taking the records one at a time from the top gives total magnetic moment values of 0.00, 0.00, 0.00, 1.04, 0.00, 0.00, 0.00, 0.00, 1.58, 0.00, 0.00, 0.00, 3.69, 0.00, 0.00, 0.00, 0.00, 0.00, 0.00, 6.00, 8.00, 33.60 Bohr magnetons per cell.